A geometry-optimized Tb2Sm6Dy3Pu structure. Source: Alexandria, functional PBE-GGA.

abc: 6.206 10.757 11.801
angles: 90.00 100.14 90.00
Space group C2/m (No. 12)
Symmetry-distinct sites (fractional):
1 Tb 0.000 0.167 0.000 (multiplicity 4)
2 Sm 0.247 0.500 0.751 (multiplicity 4)
3 Sm 0.248 0.335 0.249 (multiplicity 8)
4 Dy 0.000 0.000 0.500 (multiplicity 2)
5 Dy 0.000 0.333 0.500 (multiplicity 4)
6 Pu 0.000 0.500 0.000 (multiplicity 2)

Output
N(E_F) in states/eV per cell: 46.774
Spin magnetization in Bohr magnetons per cell: 13.2
Energy of formation from the pure elements in eV/atom: 0.046